Entry 1:
A plane-wave DFT calculation with GGA+U was carried out for a relaxed structure of Li3Co2SbO6.

Lattice parameters (Å, degrees): 12.8966 3.0809 6.2772 90.00 103.92 90.00
Space group C2/m (No. 12)
Symmetry-distinct sites (fractional):
Li (0.0000, 0.0000, 0.0000) [2 per cell]
Li (0.1738, 0.5000, 0.3051) [4 per cell]
Co (0.1761, 0.5000, 0.8560) [4 per cell]
Sb (0.0000, 0.0000, 0.5000) [2 per cell]
O (0.0042, 0.5000, 0.2815) [4 per cell]
O (0.1561, 0.0000, 0.5948) [4 per cell]
O (0.1616, 0.0000, 0.0761) [4 per cell]

Relative energy among the computed polymorphs ... 105 meV per atom

---

Entry 2:
A plane-wave DFT calculation with GGA+U was carried out for a relaxed structure of Li5Co5Sb2O12.

Lattice parameters (Å, degrees): 5.2639 9.2344 10.0725 90.00 101.74 90.00
Space group C2 (No. 5)
Symmetry-distinct sites (fractional):
Li (0.0000, 0.0000, 0.0000) [2 per cell]
Li (0.2446, 0.0040, 0.7552) [4 per cell]
Li (0.2456, 0.6655, 0.7568) [4 per cell]
Co (0.0000, 0.1562, 0.5000) [2 per cell]
Co (0.0000, 0.4934, 0.5000) [2 per cell]
Co (0.0000, 0.6696, 0.0000) [2 per cell]
Co (0.2449, 0.3385, 0.7497) [4 per cell]
Sb (0.0000, 0.3362, 0.0000) [2 per cell]
Sb (0.0000, 0.8246, 0.5000) [2 per cell]
O (0.1075, 0.9819, 0.3808) [4 per cell]
O (0.1100, 0.4916, 0.8814) [4 per cell]
O (0.1177, 0.1839, 0.8801) [4 per cell]
O (0.1223, 0.6760, 0.3787) [4 per cell]
O (0.1375, 0.8317, 0.8830) [4 per cell]
O (0.1401, 0.3211, 0.3827) [4 per cell]

Final energy ... -5.737 eV per atom

---

Entry 3:
A plane-wave DFT calculation with GGA+U was carried out for a relaxed structure of Li2Co3SbO8.

Lattice parameters (Å, degrees): 8.2603 8.2603 8.2603 90.00 90.00 90.00
Space group P4_332 (No. 212)
Symmetry-distinct sites (fractional):
Li (0.0046, 0.4954, 0.5046) [8 per cell]
Co (0.1188, 0.1312, 0.6250) [12 per cell]
Sb (0.1250, 0.8750, 0.3750) [4 per cell]
O (0.1073, 0.1194, 0.3896) [24 per cell]
O (0.1114, 0.6114, 0.8886) [8 per cell]

Relative energy among the computed polymorphs ... 0 meV per atom

---

Entry 4:
A plane-wave DFT calculation with GGA+U was carried out for a relaxed structure of LiCo5SbO8.

Lattice parameters (Å, degrees): 10.6687 5.9278 6.3631 90.00 124.78 90.00
Space group C2/m (No. 12)
Symmetry-distinct sites (fractional):
Li (0.0000, 0.0000, 0.0000) [2 per cell]
Co (0.0000, 0.5000, 0.5000) [2 per cell]
Co (0.1638, 0.0000, 0.4318) [4 per cell]
Co (0.2500, 0.2500, 0.0000) [4 per cell]
Sb (0.0000, 0.5000, 0.0000) [2 per cell]
O (0.0028, 0.2588, 0.2302) [8 per cell]
O (0.2280, 0.5000, 0.1993) [4 per cell]
O (0.2373, 0.5000, 0.7532) [4 per cell]

Relative energy among the computed polymorphs ... 12 meV per atom

---

Entry 5:
A plane-wave DFT calculation with GGA+U was carried out for a relaxed structure of LiCo5SbO8.

Lattice parameters (Å, degrees): 6.1812 6.1812 15.7973 90.00 90.00 120.00
Space group R3m (No. 160, hexagonal axes)
Symmetry-distinct sites (fractional):
Li (0.0000, 0.0000, 0.0000) [3 per cell]
Co (0.0000, 0.0000, 0.2297) [3 per cell]
Co (0.0000, 0.0000, 0.4968) [3 per cell]
Co (0.0335, 0.5167, 0.3651) [9 per cell]
Sb (0.0000, 0.0000, 0.8586) [3 per cell]
O (0.0000, 0.0000, 0.1054) [3 per cell]
O (0.0000, 0.0000, 0.6234) [3 per cell]
O (0.0342, 0.5171, 0.6097) [9 per cell]
O (0.1814, 0.3627, 0.4504) [9 per cell]

Relative energy among the computed polymorphs ... 193 meV per atom

---

Entry 6:
A plane-wave DFT calculation with GGA+U was carried out for a relaxed structure of LiCo2SbO6.

Lattice parameters (Å, degrees): 5.0090 5.0090 13.4892 90.00 90.00 120.00
Space group R3 (No. 146, hexagonal axes)
Symmetry-distinct sites (fractional):
Li (0.0000, 0.0000, 0.0000) [3 per cell]
Co (0.0000, 0.0000, 0.2928) [3 per cell]
Co (0.0000, 0.0000, 0.7930) [3 per cell]
Sb (0.0000, 0.0000, 0.4926) [3 per cell]
O (0.0178, 0.3135, 0.8870) [9 per cell]
O (0.0225, 0.6404, 0.0563) [9 per cell]

Final energy ... -5.824 eV per atom

---

Entry 7:
A plane-wave DFT calculation with GGA+U was carried out for a relaxed structure of LiCo5SbO8.

Lattice parameters (Å, degrees): 5.9575 5.9575 15.9199 90.00 90.00 120.00
Space group R-3m (No. 166, hexagonal axes)
Symmetry-distinct sites (fractional):
Li (0.0000, 0.0000, 0.0000) [3 per cell]
Co (0.0000, 0.0000, 0.1533) [6 per cell]
Co (0.0000, 0.5000, 0.0000) [9 per cell]
Sb (0.0000, 0.0000, 0.5000) [3 per cell]
O (0.0000, 0.0000, 0.2723) [6 per cell]
O (0.0154, 0.5077, 0.2435) [18 per cell]

Relative energy among the computed polymorphs ... 0 meV per atom

---

Entry 8:
A plane-wave DFT calculation with GGA+U was carried out for a relaxed structure of Li3Co2SbO6.

Lattice parameters (Å, degrees): 5.2952 9.1363 5.2308 90.00 110.05 90.00
Space group C2/m (No. 12)
Symmetry-distinct sites (fractional):
Li (0.0000, 0.0000, 0.0000) [2 per cell]
Li (0.0000, 0.3286, 0.0000) [4 per cell]
Co (0.0000, 0.1664, 0.5000) [4 per cell]
Sb (0.0000, 0.5000, 0.5000) [2 per cell]
O (0.2363, 0.3414, 0.7340) [8 per cell]
O (0.2395, 0.5000, 0.2719) [4 per cell]

Relative energy among the computed polymorphs ... 0 meV per atom

---

Computed M_tot (μB per cell) in order:
12.013; 28.074; 0.000; 29.999; 44.944; 0.000; 45.000; 12.075